Rb2BaTi2 (meta-GGA SCAN, PBEsol geometry); spin magnetization = 1.3 μB per cell; calculated formation energy = 0.964 eV per atom; E = -108.27 eV per cell; N(E_F) = 0.96 states/eV/atom; symmetry = I4/mmm (139)
1.0
-0.849 3.722 -3.401
-5.028 -0.876 0.296
2.349 4.023 7.659
Ba Rb Ti
1 2 2
Cartesian
0.000 0.000 0.000 Ba
-2.809 2.285 3.201 Rb
-0.719 4.584 1.353 Rb
-0.518 4.783 5.363 Ti
-3.010 2.086 -0.809 Ti

RbBa2Tl2 (meta-GGA SCAN, PBEsol geometry); spin magnetization = 0.0 μB per cell; calculated formation energy = -0.374 eV per atom; E = -492.85 eV per cell; N(E_F) = 0.87 states/eV/atom; symmetry = P4/mbm (127)
1.0
4.142 0.000 0.000
0.000 10.036 0.000
0.000 0.000 10.036
Tl Ba Rb
4 4 2
Cartesian
0.000 3.777 8.795 Tl
0.000 8.795 6.259 Tl
0.000 6.259 1.241 Tl
0.000 1.241 3.777 Tl
2.071 1.674 6.692 Ba
2.071 6.692 8.362 Ba
2.071 8.362 3.344 Ba
2.071 3.344 1.674 Ba
0.000 0.000 0.000 Rb
0.000 5.018 5.018 Rb

RbBa2TlW (meta-GGA SCAN, PBEsol geometry); spin magnetization = 5.2 μB per cell; calculated formation energy = 1.286 eV per atom; E = -235.45 eV per cell; N(E_F) = 0.92 states/eV/atom; symmetry = P4/mmm (123)
1.0
-4.481 -2.777 -3.797
4.305 -0.309 -4.855
1.876 -5.809 2.033
Rb Tl Ba W
1 1 2 1
Cartesian
0.938 -2.904 1.017 Rb
0.000 0.000 0.000 Tl
2.153 -0.154 -2.428 Ba
-2.240 -1.388 -1.898 Ba
0.850 -4.447 -3.309 W

RbBa3Y (meta-GGA SCAN, PBEsol geometry); spin magnetization = 0.0 μB per cell; calculated formation energy = 0.865 eV per atom; E = -162.91 eV per cell; N(E_F) = 1.68 states/eV/atom; symmetry = Pm-3m (221)
1.0
-4.157 -4.665 -0.478
4.325 -4.062 2.017
-1.811 1.008 5.914
Y Ba Rb
1 3 1
Cartesian
-0.822 -3.859 3.726 Y
2.163 -2.031 1.008 Ba
-0.906 0.504 2.957 Ba
-2.079 -2.332 -0.239 Ba
0.000 0.000 0.000 Rb

RbBa3Zn (meta-GGA SCAN, PBEsol geometry); spin magnetization = 0.0 μB per cell; calculated formation energy = 0.012 eV per atom; E = -152.84 eV per cell; N(E_F) = 0.97 states/eV/atom; symmetry = Pm-3m (221)
1.0
-2.485 -0.050 -6.102
6.102 0.007 -2.485
0.025 -6.589 0.044
Zn Ba Rb
1 3 1
Cartesian
0.000 0.000 0.000 Zn
3.051 0.003 -1.243 Ba
0.013 -3.294 0.022 Ba
-1.243 -0.025 -3.051 Ba
1.821 -3.316 -4.272 Rb

RbBaZn3 (meta-GGA SCAN, PBEsol geometry); spin magnetization = 0.0 μB per cell; calculated formation energy = 0.531 eV per atom; E = -98.18 eV per cell; N(E_F) = 0.87 states/eV/atom; symmetry = Pm-3m (221)
1.0
-0.901 -0.212 6.014
2.717 -5.440 0.215
5.369 2.717 0.901
Zn Ba Rb
3 1 1
Cartesian
1.359 -2.720 0.108 Zn
2.685 1.359 0.450 Zn
-0.451 -0.106 3.007 Zn
0.000 0.000 0.000 Ba
3.593 -1.467 3.565 Rb

BaRe (meta-GGA SCAN, PBEsol geometry); spin magnetization = 0.0 μB per cell; ΔE to the lowest computed polymorph = 0.00 eV/f.u.; calculated formation energy = 0.780 eV per atom; E = -327.27 eV per cell; N(E_F) = 1.05 states/eV/atom; symmetry = Cm (8)
1.0
3.835 0.000 0.000
-1.917 6.696 -0.020
0.000 -3.077 7.123
Ba Re
3 3
Cartesian
1.917 2.789 6.564 Ba
1.917 1.007 2.232 Ba
1.917 -0.511 5.480 Ba
0.000 3.219 3.844 Re
1.917 4.470 2.898 Re
0.000 3.833 1.467 Re

BaRe (meta-GGA SCAN, PBEsol geometry); spin magnetization = 2.3 μB per cell; ΔE to the lowest computed polymorph = 2.57 eV/f.u.; calculated formation energy = 2.064 eV per atom; E = -106.52 eV per cell; N(E_F) = 0.79 states/eV/atom; symmetry = Pm-3m (221)
1.0
3.734 0.000 0.000
0.000 3.734 0.000
0.000 0.000 3.734
Re Ba
1 1
Cartesian
1.867 1.867 1.867 Re
0.000 0.000 0.000 Ba

BaRe (meta-GGA SCAN, PBEsol geometry); spin magnetization = 0.0 μB per cell; ΔE to the lowest computed polymorph = 0.89 eV/f.u.; calculated formation energy = 1.223 eV per atom; E = -216.40 eV per cell; N(E_F) = 1.13 states/eV/atom; symmetry = R-3m (166)
1.0
-3.351 -2.964 -2.335
1.254 -4.884 0.202
-2.867 -2.610 3.230
Re Ba
2 2
Cartesian
-0.476 -1.002 0.105 Re
-4.489 -9.456 0.993 Re
-1.792 -3.774 0.396 Ba
-3.173 -6.683 0.702 Ba

BaRe (meta-GGA SCAN, PBEsol geometry); spin magnetization = 0.0 μB per cell; ΔE to the lowest computed polymorph = 1.95 eV/f.u.; calculated formation energy = 1.754 eV per atom; E = -107.14 eV per cell; N(E_F) = 0.76 states/eV/atom; symmetry = P4/mmm (123)
1.0
-1.981 -1.903 -0.930
2.085 -1.524 -1.320
0.723 -3.003 4.608
Re Ba
1 1
Cartesian
0.413 -3.215 1.179 Re
0.000 0.000 0.000 Ba

Ba2Re3 (meta-GGA SCAN, PBEsol geometry); spin magnetization = 0.0 μB per cell; calculated formation energy = 1.414 eV per atom; E = -285.32 eV per cell; N(E_F) = 1.00 states/eV/atom; symmetry = P-3m1 (164)
1.0
3.576 0.000 0.000
-1.788 3.097 0.000
0.000 0.000 11.653
Ba Re
2 3
Cartesian
0.000 2.065 9.328 Ba
1.788 1.032 2.325 Ba
0.000 0.000 0.000 Re
0.000 2.065 5.243 Re
1.788 1.032 6.410 Re

Ba2ReRh (meta-GGA SCAN, PBEsol geometry); spin magnetization = 0.0 μB per cell; ΔE to the lowest computed polymorph = 0.00 eV/f.u.; calculated formation energy = 0.356 eV per atom; E = -182.55 eV per cell; N(E_F) = 1.01 states/eV/atom; symmetry = Amm2 (38)
1.0
4.243 0.000 0.000
0.000 5.007 0.000
0.000 -2.504 5.666
Ba Re Rh
2 1 1
Cartesian
0.000 0.000 1.200 Ba
2.121 0.000 4.496 Ba
0.000 2.504 3.365 Re
2.121 2.504 2.330 Rh